The following is a PBE calculation of a relaxed structure of AlTlZn2, from Alexandria via LeMat-Bulk.

## Properties
Crystal system: monoclinic
Energy relative to the lowest polymorph listed for this composition: 0 meV per atom
Mass density: 7.3 g/cm3
SG: C2/m (12)
Calculated formation energy: 166 meV per atom

Cell: 4.553 4.553 5.895 Å, 99.84 99.84 43.03°
Sites, in units of the cell vectors:
Al (0.000, 0.000, 0.000)
Tl (0.500, 0.500, 0.500)
Zn (0.262, 0.262, 0.813)
Zn (0.738, 0.738, 0.187)